# 1
Here is an optimized crystal structure of ScFeBr2 from Alexandria. Energies are from GGA-PBE.

Values from the calculation:
The polymorph energy (0 for the lowest one) is 498 meV/atom. As for the space group: Cmmm, No. 65. The calculation puts the raw formation energy at -0.05 eV/atom. The value obtained for the density of states at the Fermi level is 4.7 states/eV/cell.

Cell: 3.5309 3.5309 8.5153 Å, 90.00 90.00 123.72°
With the nearest neighbours (Å) after each atom.
Fractional coordinates of all 4 atoms:
Sc (0.0000, 0.0000, 0.0000)  4 Br 2.81
Fe (0.0000, 0.0000, 0.5000)  4 Br 2.59
Br (0.5000, 0.5000, 0.2665)  2 Fe 2.59, 2 Sc 2.81
Br (0.5000, 0.5000, 0.7335)  2 Fe 2.59, 2 Sc 2.81



# 2
Here is an optimized crystal structure of Y2Ho2N3 from Alexandria. Energies are from GGA-PBE.

Values from the calculation:
As for the space group: C2/m, No. 12. The calculation puts the raw formation energy at -1.46 eV/atom. The value obtained for the density of states at the Fermi level is 2.0 states/eV/cell.

Cell: 6.0463 6.0463 6.0475 Å, 99.85 99.85 33.49°
With the nearest neighbours (Å) after each atom.
Fractional coordinates of all 7 atoms:
Y (0.1331, 0.1331, 0.3655)  4 N 2.38-2.49
Y (0.8669, 0.8669, 0.6345)  4 N 2.38-2.49
Ho (0.3743, 0.3743, 0.1130)  5 N 2.38-2.50
Ho (0.6257, 0.6257, 0.8870)  5 N 2.38-2.50
N (0.0000, 0.0000, 0.0000)  4 Ho 2.44, 2 Y 2.46
N (0.2521, 0.2521, 0.7524)  3 Y 2.38-2.49, 3 Ho 2.38-2.50
N (0.7479, 0.7479, 0.2476)  3 Y 2.38-2.49, 3 Ho 2.38-2.50



# 3
Here is an optimized crystal structure of Al2CuAu2 from Alexandria. Energies are from GGA-PBE.

Values from the calculation:
The polymorph energy (0 for the lowest one) is 0 meV/atom. As for the space group: Pmmn, No. 59. The value obtained for the density of states at the Fermi level is 2.4 states/eV/cell. The calculation puts the energy relative to the elements at -0.281 eV per atom.

Cell: 4.3596 4.3879 9.0295 Å, 90.00 90.00 90.00°
With the nearest neighbours (Å) after each atom.
Fractional coordinates of all 10 atoms:
Al (0.2500, 0.2500, 0.0070)  4 Au 2.56-2.62, 1 Cu 2.80
Al (0.2500, 0.2500, 0.6786)  6 Au 2.65-2.75, 1 Al 2.97
Al (0.7500, 0.7500, 0.3214)  6 Au 2.65-2.75, 1 Al 2.97
Al (0.7500, 0.7500, 0.9930)  4 Au 2.56-2.62, 1 Cu 2.80
Cu (0.2500, 0.2500, 0.3176)  6 Au 2.65-2.79, 1 Al 2.80
Cu (0.7500, 0.7500, 0.6824)  6 Au 2.65-2.79, 1 Al 2.80
Au (0.2500, 0.7500, 0.1537)  6 Al 2.56-2.65, 2 Cu 2.65
Au (0.2500, 0.7500, 0.5078)  4 Al 2.68-2.75, 4 Cu 2.69-2.79
Au (0.7500, 0.2500, 0.4922)  4 Al 2.68-2.75, 4 Cu 2.69-2.79
Au (0.7500, 0.2500, 0.8463)  6 Al 2.56-2.65, 2 Cu 2.65



# 4
Here is an optimized crystal structure of EuHgBi from Alexandria. Energies are from GGA-PBE.

Values from the calculation:
The polymorph energy (0 for the lowest one) is 0 meV/atom. As for the space group: P3m1, No. 156. The value obtained for the density of states at the Fermi level is 10.0 states/eV/cell. The calculation puts the energy relative to the elements at -0.513 eV per atom.

Cell: 4.9615 4.9615 4.4390 Å, 90.00 90.00 120.00°
With the nearest neighbours (Å) after each atom.
Fractional coordinates of all 3 atoms:
Eu (0.0000, 0.0000, 0.0000)  3 Hg 3.21, 3 Bi 3.42
Hg (0.3333, 0.6667, 0.6758)  3 Bi 3.08, 3 Eu 3.21
Bi (0.6667, 0.3333, 0.4219)  3 Hg 3.08, 3 Eu 3.42



# 5
Here is an optimized crystal structure of Ce4PmSe6 from Alexandria. Energies are from GGA-PBE.

Values from the calculation:
As for the space group: R-3c, No. 167. The calculation puts the raw formation energy at -1.68 eV/atom. The value obtained for the density of states at the Fermi level is 58.1 states/eV/cell.

Cell: 8.3917 8.3917 8.3917 Å, 90.87 90.87 90.87°
With the nearest neighbours (Å) after each atom.
Fractional coordinates of all 22 atoms:
Ce (0.1356, 0.7500, 0.3644)  8 Se 3.02-3.32
Ce (0.2500, 0.2500, 0.2500)  6 Se 3.00
Ce (0.2500, 0.6356, 0.8644)  8 Se 3.02-3.32
Ce (0.3644, 0.1356, 0.7500)  8 Se 3.02-3.32
Ce (0.6356, 0.8644, 0.2500)  8 Se 3.02-3.32
Ce (0.7500, 0.3644, 0.1356)  8 Se 3.02-3.32
Ce (0.7500, 0.7500, 0.7500)  6 Se 3.00
Ce (0.8644, 0.2500, 0.6356)  8 Se 3.02-3.32
Pm (0.0000, 0.0000, 0.0000)  6 Se 2.85
Pm (0.5000, 0.5000, 0.5000)  6 Se 2.85
Se (0.0605, 0.9120, 0.6770)  1 Pm 2.85, 3 Ce 3.00-3.19
Se (0.0880, 0.3230, 0.9395)  1 Pm 2.85, 3 Ce 3.00-3.19
Se (0.1770, 0.4120, 0.5605)  1 Pm 2.85, 3 Ce 3.00-3.19
Se (0.3230, 0.9395, 0.0880)  1 Pm 2.85, 3 Ce 3.00-3.19
Se (0.4120, 0.5605, 0.1770)  1 Pm 2.85, 3 Ce 3.00-3.19
Se (0.4395, 0.8230, 0.5880)  1 Pm 2.85, 3 Ce 3.00-3.19
Se (0.5605, 0.1770, 0.4120)  1 Pm 2.85, 3 Ce 3.00-3.19
Se (0.5880, 0.4395, 0.8230)  1 Pm 2.85, 3 Ce 3.00-3.19
Se (0.6770, 0.0605, 0.9120)  1 Pm 2.85, 3 Ce 3.00-3.19
Se (0.8230, 0.5880, 0.4395)  1 Pm 2.85, 3 Ce 3.00-3.19
Se (0.9120, 0.6770, 0.0605)  1 Pm 2.85, 3 Ce 3.00-3.19
Se (0.9395, 0.0880, 0.3230)  1 Pm 2.85, 3 Ce 3.00-3.19



# 6
Here is an optimized crystal structure of Cs2ReHgBr6 from Alexandria. Energies are from GGA-PBE.

Values from the calculation:
As for the space group: Fm-3m, No. 225. The calculation puts the raw formation energy at -0.88 eV/atom.

Cell: 8.2513 8.2513 8.2513 Å, 60.00 60.00 60.00°
With the nearest neighbours (Å) after each atom.
Fractional coordinates of all 10 atoms:
Cs (0.2500, 0.2500, 0.2500)  12 Br 4.14
Cs (0.7500, 0.7500, 0.7500)  12 Br 4.14
Re (0.0000, 0.0000, 0.0000)  6 Br 2.54
Hg (0.5000, 0.5000, 0.5000)  6 Br 3.29
Br (0.2180, 0.2180, 0.7820)  1 Re 2.54
Br (0.2180, 0.7820, 0.2180)  1 Re 2.54
Br (0.2180, 0.7820, 0.7820)  1 Re 2.54
Br (0.7820, 0.2180, 0.2180)  1 Re 2.54
Br (0.7820, 0.2180, 0.7820)  1 Re 2.54
Br (0.7820, 0.7820, 0.2180)  1 Re 2.54



# 7
Here is an optimized crystal structure of AlZnTcMo from Alexandria. Energies are from GGA-PBE.

Values from the calculation:
As for the space group: F-43m, No. 216. The value obtained for the density of states at the Fermi level is 1.0 states/eV/cell. The calculation puts the energy relative to the elements at -0.135 eV per atom.

Cell: 4.3605 4.3605 4.3605 Å, 60.00 60.00 60.00°
With the nearest neighbours (Å) after each atom.
Fractional coordinates of all 4 atoms:
Al (0.0000, 0.0000, 0.0000)  4 Tc 2.67, 4 Zn 2.67
Zn (0.2500, 0.2500, 0.2500)  4 Mo 2.67, 4 Al 2.67
Tc (0.7500, 0.7500, 0.7500)  4 Al 2.67, 4 Mo 2.67
Mo (0.5000, 0.5000, 0.5000)  4 Tc 2.67, 4 Zn 2.67



# 8
Here is an optimized crystal structure of Cs4KCa3I12 from Alexandria. Energies are from GGA-PBE.

Values from the calculation:
As for the space group: Im-3m, No. 229. The calculation puts the raw formation energy at -1.45 eV/atom. The value obtained for the density of states at the Fermi level is 23.5 states/eV/cell.

Cell: 10.9602 10.9602 10.9602 Å, 109.47 109.47 109.47°
With the nearest neighbours (Å) after each atom.
Fractional coordinates of all 20 atoms:
Cs (0.0000, 0.0000, 0.5000)  12 I 4.47-4.48
Cs (0.0000, 0.5000, 0.0000)  12 I 4.47-4.48
Cs (0.5000, 0.0000, 0.0000)  12 I 4.47-4.48
Cs (0.5000, 0.5000, 0.5000)  12 I 4.47-4.48
K (0.0000, 0.0000, 0.0000)  6 I 3.31
Ca (0.0000, 0.5000, 0.5000)  6 I 3.02-3.16
Ca (0.5000, 0.0000, 0.5000)  6 I 3.02-3.16
Ca (0.5000, 0.5000, 0.0000)  6 I 3.02-3.16
I (0.0000, 0.2617, 0.2617)  1 Ca 3.02, 1 K 3.31
I (0.0000, 0.7383, 0.7383)  1 Ca 3.02, 1 K 3.31
I (0.2500, 0.5000, 0.7500)  2 Ca 3.16
I (0.2500, 0.7500, 0.5000)  2 Ca 3.16
I (0.2617, 0.0000, 0.2617)  1 Ca 3.02, 1 K 3.31
I (0.2617, 0.2617, 0.0000)  1 Ca 3.02, 1 K 3.31
I (0.5000, 0.2500, 0.7500)  2 Ca 3.16
I (0.5000, 0.7500, 0.2500)  2 Ca 3.16
I (0.7383, 0.0000, 0.7383)  1 Ca 3.02, 1 K 3.31
I (0.7383, 0.7383, 0.0000)  1 Ca 3.02, 1 K 3.31
I (0.7500, 0.2500, 0.5000)  2 Ca 3.16
I (0.7500, 0.5000, 0.2500)  2 Ca 3.16



# 9
Here is an optimized crystal structure of TiNi6Pt2 from Alexandria. Energies are from GGA-PBE.

Values from the calculation:
As for the space group: C2/m, No. 12. The value obtained for the density of states at the Fermi level is 11.0 states/eV/cell. The calculation puts the energy relative to the elements at -0.209 eV per atom.

Cell: 6.8571 6.8571 4.3687 Å, 98.95 98.95 141.48°
With the nearest neighbours (Å) after each atom.
Fractional coordinates of all 9 atoms:
Ti (0.0000, 0.0000, 0.0000)  10 Ni 2.52-2.61
Ni (0.1775, 0.5045, 0.1648)  5 Ni 2.45-2.72, 1 Ti 2.52, 4 Pt 2.57-2.63
Ni (0.3487, 0.3487, 0.6760)  4 Ni 2.45-2.50, 2 Pt 2.53, 3 Ti 2.57-2.61
Ni (0.4955, 0.8225, 0.8352)  5 Ni 2.45-2.72, 1 Ti 2.52, 4 Pt 2.57-2.63
Ni (0.5045, 0.1775, 0.1648)  5 Ni 2.45-2.72, 1 Ti 2.52, 4 Pt 2.57-2.63
Ni (0.6513, 0.6513, 0.3240)  4 Ni 2.45-2.50, 2 Pt 2.53, 3 Ti 2.57-2.61
Ni (0.8225, 0.4955, 0.8352)  5 Ni 2.45-2.72, 1 Ti 2.52, 4 Pt 2.57-2.63
Pt (0.1630, 0.8370, 0.5000)  10 Ni 2.53-2.63
Pt (0.8370, 0.1630, 0.5000)  10 Ni 2.53-2.63



# 10
Here is an optimized crystal structure of RbErCuCl5 from Alexandria. Energies are from GGA-PBE.

Values from the calculation:
As for the space group: C2/c, No. 15. The calculation puts the raw formation energy at -1.75 eV/atom. The value obtained for the density of states at the Fermi level is 0.0 states/eV/cell.

Cell: 7.4062 7.4062 9.9509 Å, 103.51 103.51 106.55°
With the nearest neighbours (Å) after each atom.
Fractional coordinates of all 16 atoms:
Rb (0.1536, 0.8464, 0.7500)  5 Cl 3.26-3.31
Rb (0.8464, 0.1536, 0.2500)  5 Cl 3.26-3.31
Er (0.5000, 0.5000, 0.0000)  6 Cl 2.63
Er (0.5000, 0.5000, 0.5000)  6 Cl 2.63
Cu (0.1911, 0.8089, 0.2500)  4 Cl 2.33-2.38
Cu (0.8089, 0.1911, 0.7500)  4 Cl 2.33-2.38
Cl (0.1263, 0.2662, 0.9211)  1 Cu 2.38, 1 Er 2.63
Cl (0.1978, 0.6020, 0.3943)  1 Cu 2.33
Cl (0.2662, 0.1263, 0.4211)  1 Cu 2.38, 1 Er 2.63
Cl (0.3980, 0.8022, 0.1057)  1 Cu 2.33
Cl (0.4279, 0.5721, 0.7500)  2 Er 2.63
Cl (0.5721, 0.4279, 0.2500)  2 Er 2.63
Cl (0.6020, 0.1978, 0.8943)  1 Cu 2.33
Cl (0.7338, 0.8737, 0.5789)  1 Cu 2.38, 1 Er 2.63
Cl (0.8022, 0.3980, 0.6057)  1 Cu 2.33
Cl (0.8737, 0.7338, 0.0789)  1 Cu 2.38, 1 Er 2.63



Raw total energy values, unit eV/atom, following the record order: -4.589; -8.185; -3.908; -5.333; -6.171; -3.332; -6.688; -2.902; -6.283; -4.104.